Sn2HgPb: relaxed, GGA-PBE.

Output
For the volume, the calculation gives 110.7 Å³/f.u. As for the electronic total energy: -2.942 eV/atom.

Cell lengths 7.623, 7.623, 7.623 Å; angles 90.00, 90.00, 90.00 degrees
Space group F-43m (No. 216)
One atom of each set of equivalent atoms:
1 Sn 0.000 0.000 0.000 x4
2 Sn 0.250 0.250 0.250 x4
3 Hg 0.000 0.000 0.500 x4
4 Pb 0.250 0.250 0.750 x4

***

SnHg2Pb: relaxed, GGA-PBE.

Output
For the volume, the calculation gives 108.2 Å³/f.u. As for the electronic total energy: -2.014 eV/atom.

Cell lengths 7.563, 7.563, 7.563 Å; angles 90.00, 90.00, 90.00 degrees
Space group F-43m (No. 216)
One atom of each set of equivalent atoms:
1 Sn 0.000 0.000 0.000 x4
2 Hg 0.000 0.000 0.500 x4
3 Hg 0.250 0.250 0.750 x4
4 Pb 0.250 0.250 0.250 x4